The following is a DFT calculation (GGA-PBE) of crystalline MnAl2Ag at its relaxed geometry.

Values from the calculation:
* total DFT energy (no corrections): -4.757 eV/atom
* energy relative to the elements: 0.1200 eV per atom
* relative energy among the computed polymorphs: 0.2799 eV per atom
* size of the total moment: 13.14 Bohr magnetons per cell

Structure (CIF):
```
data_MnAl2Ag
_cell_length_a 6.3250
_cell_length_b 6.3250
_cell_length_c 6.3250
_cell_angle_alpha 90.00
_cell_angle_beta 90.00
_cell_angle_gamma 90.00
_space_group_name_H-M_alt 'F -4 3 m'
_space_group_IT_number 216
_space_group_name_Hall 'F -4 2 3'
loop_
_atom_site_label
_atom_site_type_symbol
_atom_site_fract_x
_atom_site_fract_y
_atom_site_fract_z
_atom_site_occupancy
Mn1 Mn 0.0000 0.0000 0.0000 1
Al1 Al 0.0000 0.0000 0.5000 1
Al2 Al 0.2500 0.2500 0.2500 1
Ag1 Ag 0.2500 0.2500 0.7500 1
```